Entry 1:
A plane-wave DFT calculation with PBE was carried out for a geometry-optimized SrTi2Ge2 structure.

Computed properties:
The density of states at the Fermi level is 4.21 states/eV/f.u. As for the total energy: -0.2028 hartree per atom. The energy above the most stable polymorph in this dataset is 7.40 kcal/mol of atoms. The size of the total moment is 0.00 μB/f.u. As for the formation energy from the elements: -179 meV/atom.

a b c (Å): 4.9026 4.9026 9.8670
angles (deg): 90.00 90.00 90.00
Closest atoms and distances in Å follow each position.
Space group I4/mmm (No. 139)
Asymmetric unit:
Sr 0.0000 0.0000 0.0000 [2 per cell]  2 Ti 3.23, 8 Ge 3.48
Ti 0.0000 0.0000 0.3269 [4 per cell]  4 Ge 2.57
Ge 0.0000 0.5000 0.2500 [4 per cell]  4 Ti 2.57

***

Entry 2:
A plane-wave DFT calculation with PBE was carried out for a geometry-optimized SrTi2Ge2 structure.

Computed properties:
The density of states at the Fermi level is 3.84 states/eV/f.u. As for the total energy: -0.2073 hartree per atom. The energy above the most stable polymorph in this dataset is 4.64 kcal/mol of atoms. The size of the total moment is 0.37 μB/f.u. As for the formation energy from the elements: -298 meV/atom.

a b c (Å): 8.1132 8.1132 2.9272
angles (deg): 90.00 90.00 90.00
Closest atoms and distances in Å follow each position.
Space group P4/mbm (No. 127)
Asymmetric unit:
Sr 0.0000 0.0000 0.0000 [2 per cell]  2 Sr 2.93, 4 Ti 3.25
Ti 0.1170 0.3830 0.0000 [4 per cell]  3 Ti 2.68-2.93, 6 Ge 2.80-2.83
Ge 0.1719 0.6719 0.5000 [4 per cell]  6 Ti 2.80-2.83, 2 Ge 2.93

***

Entry 3:
A plane-wave DFT calculation with PBE was carried out for a geometry-optimized Sr2ZrTiGe structure.

Computed properties:
The density of states at the Fermi level is 6.21 states/eV/f.u. As for the total energy: -0.1430 hartree per atom. The size of the total moment is 0.00 μB/f.u. As for the formation energy from the elements: 992 meV/atom.

a b c (Å): 6.1260 6.1260 4.6808
angles (deg): 90.00 90.00 90.00
Closest atoms and distances in Å follow each position.
Space group P4/mmm (No. 123)
Asymmetric unit:
Sr 0.0000 0.5000 0.0000 [2 per cell]  2 Zr 3.06
Zr 0.0000 0.0000 0.0000 [1 per cell]  2 Ti 2.34
Ti 0.0000 0.0000 0.5000 [1 per cell]  2 Zr 2.34
Ge 0.5000 0.5000 0.5000 [1 per cell]  8 Sr 3.85

***

Entry 4:
A plane-wave DFT calculation with PBE was carried out for a geometry-optimized Sr2Tl3Ge2 structure.

Computed properties:
The density of states at the Fermi level is 3.70 states/eV/f.u. As for the total energy: -0.1157 hartree per atom. The energy above the most stable polymorph in this dataset is 0.46 kcal/mol of atoms. The size of the total moment is 0.00 μB/f.u. As for the formation energy from the elements: -334 meV/atom.

a b c (Å): 11.4831 4.8344 7.4519
angles (deg): 90.00 97.33 90.00
Closest atoms and distances in Å follow each position.
Space group C2/m (No. 12)
Asymmetric unit:
Sr 0.1238 0.0000 0.3293 [4 per cell]  5 Ge 3.28-3.49, 5 Tl 3.60-3.66
Tl 0.0000 0.5000 0.0000 [2 per cell]  2 Ge 3.14, 4 Tl 3.51
Tl 0.1874 0.0000 0.8515 [4 per cell]  2 Ge 3.11, 2 Tl 3.46
Ge 0.0879 0.5000 0.6174 [4 per cell]  1 Ge 2.50

***

Entry 5:
A plane-wave DFT calculation with PBE was carried out for a geometry-optimized SrTl2Ge structure.

Computed properties:
The density of states at the Fermi level is 2.88 states/eV/f.u. As for the total energy: -0.1041 hartree per atom. The energy above the most stable polymorph in this dataset is 2.83 kcal/mol of atoms. The size of the total moment is 0.00 μB/f.u. As for the formation energy from the elements: -75 meV/atom.

a b c (Å): 4.6924 4.6924 22.6739
angles (deg): 90.00 90.00 90.00
Closest atoms and distances in Å follow each position.
Space group I-42d (No. 122)
Asymmetric unit:
Sr 0.0000 0.0000 0.0000 [4 per cell]  4 Ge 3.32, 4 Tl 3.34
Tl 0.2208 0.2500 0.6250 [8 per cell]  2 Tl 3.13, 2 Ge 3.24, 2 Sr 3.34
Ge 0.0000 0.0000 0.5000 [4 per cell]  4 Tl 3.24, 4 Sr 3.32

***

Entry 6:
A plane-wave DFT calculation with PBE was carried out for a geometry-optimized SrTlGe structure.

Computed properties:
The density of states at the Fermi level is 1.44 states/eV/f.u. As for the total energy: -0.1206 hartree per atom. The energy above the most stable polymorph in this dataset is 0.69 kcal/mol of atoms. The size of the total moment is 0.00 μB/f.u. As for the formation energy from the elements: -392 meV/atom.

a b c (Å): 11.9630 4.6218 7.7862
angles (deg): 90.00 126.34 90.00
Closest atoms and distances in Å follow each position.
Space group C2/m (No. 12)
Asymmetric unit:
Sr 0.0682 0.0000 0.3174 [4 per cell]  5 Ge 3.23-3.46, 4 Tl 3.58-3.62
Tl 0.1766 0.5000 0.0842 [4 per cell]  3 Ge 3.00-3.06
Ge 0.1377 0.5000 0.6583 [4 per cell]  1 Ge 2.70, 2 Tl 3.00

***

Entry 7:
A plane-wave DFT calculation with PBE was carried out for a geometry-optimized Sr4TlGe3 structure.

Computed properties:
The density of states at the Fermi level is 2.71 states/eV/f.u. As for the total energy: -0.1257 hartree per atom. The size of the total moment is 0.00 μB/f.u. As for the formation energy from the elements: -553 meV/atom.

a b c (Å): 4.4147 4.8327 11.7375
angles (deg): 90.00 90.00 90.00
Closest atoms and distances in Å follow each position.
Space group Pmm2 (No. 25)
Asymmetric unit:
Sr 0.0000 0.0000 0.0000 [1 per cell]  5 Ge 3.35-3.37, 2 Tl 3.52
Sr 0.0000 0.5000 0.4834 [1 per cell]  6 Ge 3.34-3.35, 1 Tl 3.50
Sr 0.5000 0.0000 0.7154 [1 per cell]  4 Tl 3.36, 3 Ge 3.43-3.56
Sr 0.5000 0.5000 0.2200 [1 per cell]  7 Ge 3.31-3.39
Tl 0.0000 0.5000 0.7814 [1 per cell]  2 Ge 2.87
Ge 0.0000 0.0000 0.2870 [1 per cell]  2 Ge 2.72
Ge 0.5000 0.0000 0.4227 [1 per cell]  2 Ge 2.72
Ge 0.5000 0.5000 0.9379 [1 per cell]  2 Tl 2.87

***

Entry 8:
A plane-wave DFT calculation with PBE was carried out for a geometry-optimized SrTl3Ge structure.

Computed properties:
The density of states at the Fermi level is 3.03 states/eV/f.u. As for the total energy: -0.0688 hartree per atom. The energy above the most stable polymorph in this dataset is 17.17 kcal/mol of atoms. The size of the total moment is 0.00 μB/f.u. As for the formation energy from the elements: 809 meV/atom.

a b c (Å): 6.0984 6.0984 6.0984
angles (deg): 90.00 90.00 90.00
Closest atoms and distances in Å follow each position.
Space group Pm-3m (No. 221)
Asymmetric unit:
Sr 0.0000 0.0000 0.0000 [1 per cell]  6 Tl 3.05
Tl 0.0000 0.0000 0.5000 [3 per cell]  2 Sr 3.05
Ge 0.5000 0.5000 0.5000 [1 per cell]  12 Tl 4.31

***

Question: Which of these has the highest formation energy from the elements?
Answer: Sr2ZrTiGe